[1]
The following is a DFT calculation (PBE) of Ba3Nd3Cu6O14 after structural relaxation.

Values from the calculation:
The calculation puts the formation energy without anion corrections at -1.8541 eV/atom.

Lattice parameters (Å, degrees): 12.4321 12.4085 5.5220 77.39 76.92 25.69
Closest atoms and distances in Å follow each position.
Fractional positions:
1 O 0.9241 0.9241 0.5759  1 Cu 1.86
2 O 0.7198 0.3031 0.2802  2 Cu 2.01
3 O 0.5709 0.0578 0.4291  2 Cu 1.98
4 O 0.4542 0.8962 0.1038  2 Cu 1.95
5 O 0.9477 0.4197 0.0523  2 Cu 1.99
6 Ba 0.4116 0.4116 0.5884  10 O 2.78-3.08
7 O 0.0651 0.5549 0.4451  2 Cu 1.95
8 Cu 0.5030 0.5030 0.9970  4 O 1.86-2.01
9 O 0.0821 0.0821 0.4179  1 Cu 1.87
10 O 0.4241 0.4241 0.0759  1 Cu 1.86
11 O 0.8962 0.4542 0.5458  2 Cu 1.95
12 O 0.5549 0.0651 0.9349  2 Cu 1.95
13 O 0.0578 0.5709 0.9422  2 Cu 1.98
14 O 0.3031 0.7198 0.6969  2 Cu 2.01
15 O 0.5821 0.5821 0.9179  1 Cu 1.87
16 Nd 0.5921 0.5921 0.4079  8 O 2.49-2.77
17 Cu 0.0030 0.0030 0.4970  4 O 1.86-2.01
18 Cu 0.1745 0.1745 0.3255  5 O 1.95-2.18
19 Nd 0.7479 0.7479 0.2521  8 O 2.44-2.54
20 O 0.4197 0.9477 0.5803  2 Cu 1.99
21 Nd 0.2508 0.2508 0.7492  6 O 2.38-2.49
22 Ba 0.9064 0.9064 0.0936  8 O 2.79-3.04
23 Cu 0.3216 0.3216 0.1784  4 O 1.95-1.98
24 Ba 0.0914 0.0914 0.9086  10 O 2.77-2.96
25 Cu 0.8216 0.8216 0.6784  4 O 1.95-1.98
26 Cu 0.6745 0.6745 0.8255  5 O 1.95-2.18

=====

[2]
The following is a DFT calculation (PBE) of Dy5Ni2Au after structural relaxation.

Lattice parameters (Å, degrees): 7.6177 7.6177 8.4199 116.90 116.90 90.00
Closest atoms and distances in Å follow each position.
Fractional positions:
1 Dy 0.1992 0.0245 0.7237  3 Ni 2.85-2.90
2 Dy 0.9755 0.4755 0.2763  3 Ni 2.85-2.90
3 Dy 0.0245 0.5245 0.7237  3 Ni 2.85-2.90
4 Dy 0.3008 0.8008 0.2763  3 Ni 2.85-2.90
5 Dy 0.6992 0.1992 0.7237  3 Ni 2.85-2.90
6 Au 0.7500 0.7500 0.5000  10 Dy 3.20-3.24
7 Ni 0.3745 0.8745 0.0000  1 Ni 2.70, 8 Dy 2.85-3.01
8 Dy 0.8008 0.9755 0.2763  3 Ni 2.85-2.90
9 Ni 0.1255 0.3745 0.0000  1 Ni 2.70, 8 Dy 2.85-3.01
10 Dy 0.0000 0.0000 0.0000  4 Ni 3.01, 2 Au 3.24, 8 Dy 3.37
11 Dy 0.5000 0.5000 0.0000  4 Ni 3.01, 2 Au 3.24, 8 Dy 3.37
12 Au 0.2500 0.2500 0.5000  10 Dy 3.20-3.24
13 Dy 0.5245 0.6992 0.7237  3 Ni 2.85-2.90
14 Ni 0.8745 0.6255 0.0000  1 Ni 2.70, 8 Dy 2.85-3.01
15 Ni 0.6255 0.1255 0.0000  1 Ni 2.70, 8 Dy 2.85-3.01
16 Dy 0.4755 0.3008 0.2763  3 Ni 2.85-2.90

=====

[3]
The following is a DFT calculation (PBE) of PaMnCo2 after structural relaxation.

Lattice parameters (Å, degrees): 3.6826 3.9650 3.9650 90.00 90.00 90.00
Closest atoms and distances in Å follow each position.
Fractional positions:
1 Pa 0.5000 0.5000 0.5000  8 Co 2.71, 4 Mn 2.80
2 Co 0.0000 0.0000 0.5000  4 Mn 2.71, 4 Pa 2.71, 4 Co 2.80
3 Co 0.0000 0.5000 0.0000  4 Mn 2.71, 4 Pa 2.71, 4 Co 2.80
4 Mn 0.5000 0.0000 0.0000  8 Co 2.71, 4 Pa 2.80

=====

[4]
The following is a DFT calculation (PBE) of Gd4DyHo after structural relaxation.

Lattice parameters (Å, degrees): 6.5616 6.5616 6.5616 60.00 60.00 60.00
Closest atoms and distances in Å follow each position.
Fractional positions:
1 Gd 0.1248 0.6251 0.6251  6 Gd 3.28
2 Ho 0.0000 0.0000 0.0000  12 Gd 3.85, 4 Dy 4.02
3 Gd 0.6251 0.6251 0.6251  6 Gd 3.28
4 Gd 0.6251 0.6251 0.1248  6 Gd 3.28
5 Dy 0.2500 0.2500 0.2500  12 Gd 3.85, 4 Ho 4.02
6 Gd 0.6251 0.1248 0.6251  6 Gd 3.28

=====

[5]
The following is a DFT calculation (PBE) of CrCuHPt2 after structural relaxation.

Lattice parameters (Å, degrees): 3.9683 3.9683 3.8649 90.00 90.00 90.00
Closest atoms and distances in Å follow each position.
Fractional positions:
1 Pt 0.0000 0.5000 0.0000  2 H 1.98
2 Pt 0.5000 0.0000 0.0000  2 H 1.98
3 Cu 0.5000 0.5000 0.5000  8 Pt 2.77, 4 Cr 2.81
4 H 0.0000 0.0000 0.0000  2 Cr 1.93, 4 Pt 1.98
5 Cr 0.0000 0.0000 0.5000  2 H 1.93

=====

| no. | magnetic moment (μB per cell) | total energy (eV for the cell shown) |
| --- | --- | --- |
| 1 | 0.0 | -162.27 |
| 2 | 0.0 | -83.05 |
| 3 | 3.4 | -33.56 |
| 4 | 28.5 | -63.97 |
| 5 | 3.8 | -29.49 |